# PBE-GGA Pm5HgPd2, relaxed
# density of states at the Fermi level: 1.06 states/eV/atom
# energy relative to the elements: -0.526 eV/atom
data_Pm5HgPd2
_chemical_formula_sum 'Pm20 Hg4 Pd8'
_space_group_name_H-M_alt 'I 4/m c m'
_space_group_IT_number 140
_space_group_name_Hall '-I 4 2c'
_cell_length_a 8.1023
_cell_length_b 8.1023
_cell_length_c 13.4028
_cell_angle_alpha 90.00
_cell_angle_beta 90.00
_cell_angle_gamma 90.00
loop_
_atom_site_label
_atom_site_type_symbol
_atom_site_fract_x
_atom_site_fract_y
_atom_site_fract_z
Pm1 Pm 0.0000 0.0000 0.0000
Pm2 Pm 0.1600 0.3400 0.1417
Hg1 Hg 0.0000 0.0000 0.2500
Pd1 Pd 0.1302 0.3698 0.5000


# PBE-GGA Mo3Au, relaxed
# density of states at the Fermi level: 1.19 states/eV/atom
# energy relative to the elements: 0.375 eV/atom
data_Mo3Au
_chemical_formula_sum 'Mo9 Au3'
_space_group_name_H-M_alt 'R -3 m'
_space_group_IT_number 166
_space_group_name_Hall '-R 3 2"'
_cell_length_a 2.7887
_cell_length_b 2.7887
_cell_length_c 29.3188
_cell_angle_alpha 90.00
_cell_angle_beta 90.00
_cell_angle_gamma 120.00
loop_
_atom_site_label
_atom_site_type_symbol
_atom_site_fract_x
_atom_site_fract_y
_atom_site_fract_z
Mo1 Mo 0.0000 0.0000 0.0000
Mo2 Mo 0.0000 0.0000 0.2506
Au1 Au 0.0000 0.0000 0.5000


# PBE-GGA SiTc2Hg, relaxed
# energy relative to the elements, uncorrected: 0.338 eV/atom
# density of states at the Fermi level: 0.74 states/eV/atom
# energy above the most stable polymorph in this dataset: 293 meV/atom
data_SiTc2Hg
_chemical_formula_sum 'Si2 Tc4 Hg2'
_space_group_name_H-M_alt 'I m m 2'
_space_group_IT_number 44
_cell_length_a 3.0806
_cell_length_b 4.3823
_cell_length_c 9.2464
_cell_angle_alpha 90.00
_cell_angle_beta 90.00
_cell_angle_gamma 90.00
loop_
_space_group_symop_operation_xyz
'x,y,z'
'-x,-y,z'
'-x,y,z'
'x,-y,z'
'x+1/2,y+1/2,z+1/2'
'-x+1/2,-y+1/2,z+1/2'
'-x+1/2,y+1/2,z+1/2'
'x+1/2,-y+1/2,z+1/2'
loop_
_atom_site_label
_atom_site_type_symbol
_atom_site_fract_x
_atom_site_fract_y
_atom_site_fract_z
Si1 Si 0.0000 0.0000 0.0000
Tc1 Tc 0.0000 0.0000 0.4606
Tc2 Tc 0.0000 0.5000 0.7067
Hg1 Hg 0.0000 0.5000 0.2451


# PBE-GGA AcAgHg6, relaxed
# density of states at the Fermi level: 0.46 states/eV/atom
# energy above the most stable polymorph in this dataset: 0 meV/atom
# energy relative to the elements: -0.150 eV/atom
data_AcAgHg6
_chemical_formula_sum 'Ac2 Ag2 Hg12'
_space_group_name_H-M_alt 'A m m 2'
_space_group_IT_number 38
_cell_length_a 5.1460
_cell_length_b 7.4376
_cell_length_c 11.2851
_cell_angle_alpha 90.00
_cell_angle_beta 90.00
_cell_angle_gamma 90.00
loop_
_space_group_symop_operation_xyz
'x,y,z'
'-x,-y,z'
'-x,y,z'
'x,-y,z'
'x,y+1/2,z+1/2'
'-x,-y+1/2,z+1/2'
'-x,y+1/2,z+1/2'
'x,-y+1/2,z+1/2'
loop_
_atom_site_label
_atom_site_type_symbol
_atom_site_fract_x
_atom_site_fract_y
_atom_site_fract_z
Ac1 Ac 0.0000 0.0000 0.0000
Ag1 Ag 0.5000 0.0000 0.7827
Hg1 Hg 0.0000 0.0000 0.4763
Hg2 Hg 0.0000 0.2143 0.7311
Hg3 Hg 0.5000 0.0000 0.2073
Hg4 Hg 0.5000 0.2110 0.4721


# PBE-GGA Rb2Te2Pd, relaxed
# energy relative to the elements, uncorrected: -0.783 eV/atom
data_Rb2Te2Pd
_chemical_formula_sum 'Rb4 Te4 Pd2'
_space_group_name_H-M_alt 'C 1 2/m 1'
_space_group_IT_number 12
_cell_length_a 14.6779
_cell_length_b 6.1853
_cell_length_c 4.1093
_cell_angle_alpha 90.00
_cell_angle_beta 90.16
_cell_angle_gamma 90.00
loop_
_space_group_symop_operation_xyz
'x,y,z'
'-x,-y,-z'
'-x,y,-z'
'x,-y,z'
'x+1/2,y+1/2,z'
'-x+1/2,-y+1/2,-z'
'-x+1/2,y+1/2,-z'
'x+1/2,-y+1/2,z'
loop_
_atom_site_label
_atom_site_type_symbol
_atom_site_fract_x
_atom_site_fract_y
_atom_site_fract_z
Rb1 Rb 0.1517 0.0000 0.0022
Te1 Te 0.1176 0.5000 0.5012
Pd1 Pd 0.0000 0.5000 0.0000


# PBE-GGA Ir2PdRh, relaxed
# density of states at the Fermi level: 1.22 states/eV/atom
# energy above the most stable polymorph in this dataset: 386 meV/atom
# energy relative to the elements: 0.432 eV/atom
data_Ir2PdRh
_chemical_formula_sum 'Ir8 Pd4 Rh4'
_space_group_name_H-M_alt 'F m -3 m'
_space_group_IT_number 225
_space_group_name_Hall '-F 4 2 3'
_cell_length_a 6.2011
_cell_length_b 6.2011
_cell_length_c 6.2011
_cell_angle_alpha 90.00
_cell_angle_beta 90.00
_cell_angle_gamma 90.00
loop_
_atom_site_label
_atom_site_type_symbol
_atom_site_fract_x
_atom_site_fract_y
_atom_site_fract_z
Ir1 Ir 0.2500 0.2500 0.2500
Pd1 Pd 0.0000 0.0000 0.0000
Rh1 Rh 0.0000 0.0000 0.5000


# PBE-GGA TaV2HIr, relaxed
# density of states at the Fermi level: 0.86 states/eV/atom
# energy above the most stable polymorph in this dataset: 73 meV/atom
data_TaV2HIr
_chemical_formula_sum 'Ta1 V2 H1 Ir1'
_space_group_name_H-M_alt 'P 4/m m m'
_space_group_IT_number 123
_space_group_name_Hall '-P 4 2'
_cell_length_a 3.7991
_cell_length_b 3.7991
_cell_length_c 4.3072
_cell_angle_alpha 90.00
_cell_angle_beta 90.00
_cell_angle_gamma 90.00
loop_
_atom_site_label
_atom_site_type_symbol
_atom_site_fract_x
_atom_site_fract_y
_atom_site_fract_z
Ta1 Ta 0.0000 0.0000 0.0000
V1 V 0.0000 0.5000 0.5000
H1 H 0.5000 0.5000 0.5000
Ir1 Ir 0.5000 0.5000 0.0000


# PBE-GGA CeTm2SbO8, relaxed
# energy relative to the elements, uncorrected: -2.708 eV/atom
# density of states at the Fermi level: 0.53 states/eV/atom
data_CeTm2SbO8
_chemical_formula_sum 'Ce2 Tm4 Sb2 O16'
_space_group_name_H-M_alt 'C m m m'
_space_group_IT_number 65
_space_group_name_Hall '-C 2 2'
_cell_length_a 6.9732
_cell_length_b 7.1385
_cell_length_c 6.9055
_cell_angle_alpha 90.00
_cell_angle_beta 90.00
_cell_angle_gamma 90.00
loop_
_atom_site_label
_atom_site_type_symbol
_atom_site_fract_x
_atom_site_fract_y
_atom_site_fract_z
Ce1 Ce 0.0000 0.0000 0.0000
Tm1 Tm 0.0000 0.5000 0.2570
Sb1 Sb 0.0000 0.0000 0.5000
O1 O 0.0000 0.1871 0.2801
O2 O 0.1928 0.5000 0.0000
O3 O 0.2132 0.5000 0.5000


# PBE-GGA Ac2PrNd2Dy, relaxed
# density of states at the Fermi level: 1.50 states/eV/atom
# energy relative to the elements: 0.077 eV/atom
data_Ac2PrNd2Dy
_chemical_formula_sum 'Ac4 Pr2 Nd4 Dy2'
_space_group_name_H-M_alt 'P m m a'
_space_group_IT_number 51
_cell_length_a 7.3839
_cell_length_b 5.9606
_cell_length_c 10.2882
_cell_angle_alpha 90.00
_cell_angle_beta 90.00
_cell_angle_gamma 90.00
loop_
_space_group_symop_operation_xyz
'x,y,z'
'-x,-y,-z'
'-x+1/2,-y,z'
'x+1/2,y,-z'
'x+1/2,-y,-z'
'-x+1/2,y,z'
'-x,y,-z'
'x,-y,z'
loop_
_atom_site_label
_atom_site_type_symbol
_atom_site_fract_x
_atom_site_fract_y
_atom_site_fract_z
Ac1 Ac 0.0000 0.0000 0.0000
Ac2 Ac 0.2500 0.5000 0.1730
Pr1 Pr 0.0000 0.5000 0.5000
Nd1 Nd 0.2500 0.0000 0.3425
Nd2 Nd 0.2500 0.5000 0.8267
Dy1 Dy 0.2500 0.0000 0.6643


# PBE-GGA MgMnOs2, relaxed
# density of states at the Fermi level: 0.81 states/eV/atom
# energy relative to the elements: 0.169 eV/atom
data_MgMnOs2
_chemical_formula_sum 'Mg3 Mn3 Os6'
_space_group_name_H-M_alt 'R -3 m'
_space_group_IT_number 166
_space_group_name_Hall '-R 3 2"'
_cell_length_a 2.7356
_cell_length_b 2.7356
_cell_length_c 26.4479
_cell_angle_alpha 90.00
_cell_angle_beta 90.00
_cell_angle_gamma 120.00
loop_
_atom_site_label
_atom_site_type_symbol
_atom_site_fract_x
_atom_site_fract_y
_atom_site_fract_z
Mg1 Mg 0.0000 0.0000 0.0000
Mn1 Mn 0.0000 0.0000 0.5000
Os1 Os 0.0000 0.0000 0.2436


# PBE-GGA RbTlPdAu2, relaxed
# density of states at the Fermi level: 0.26 states/eV/atom
# energy relative to the elements: -0.074 eV/atom
data_RbTlPdAu2
_chemical_formula_sum 'Rb1 Tl1 Pd1 Au2'
_space_group_name_H-M_alt 'P 4/m m m'
_space_group_IT_number 123
_space_group_name_Hall '-P 4 2'
_cell_length_a 5.3741
_cell_length_b 5.3741
_cell_length_c 5.1792
_cell_angle_alpha 90.00
_cell_angle_beta 90.00
_cell_angle_gamma 90.00
loop_
_atom_site_label
_atom_site_type_symbol
_atom_site_fract_x
_atom_site_fract_y
_atom_site_fract_z
Rb1 Rb 0.0000 0.0000 0.0000
Tl1 Tl 0.5000 0.5000 0.0000
Pd1 Pd 0.5000 0.5000 0.5000
Au1 Au 0.0000 0.5000 0.5000